[1]
{"formula": "Dy2HoTh", "functional": "PBE-GGA", "state": "relaxed", "cell": [[3.540, 0.000, 0.000], [-1.758, 6.524, 0.000], [-0.003, -0.120, 11.041]], "species": ["Dy", "Dy", "Dy", "Dy", "Ho", "Ho", "Th", "Th"], "fractional_positions": [[0.020, 0.039, 0.246], [0.246, 0.491, 0.746], [0.754, 0.509, 0.254], [0.980, 0.961, 0.754], [0.369, 0.739, 0.015], [0.631, 0.261, 0.985], [0.371, 0.744, 0.484], [0.629, 0.256, 0.516]], "spacegroup": "P-1, No. 2", "e_above_lowest_polymorph_mev_per_atom": 13, "n_ef_per_ev_cell": 12.6, "ef_ev_per_atom": 0.04}



[2]
{"formula": "YTm4In", "functional": "PBE-GGA", "state": "relaxed", "cell": [[3.253, -9.398, 0.000], [3.253, 9.398, 0.000], [-0.771, 0.000, 5.710]], "species": ["Y", "Y", "Tm", "Tm", "Tm", "Tm", "Tm", "Tm", "Tm", "Tm", "In", "In"], "fractional_positions": [[0.125, 0.875, 0.750], [0.875, 0.125, 0.250], [0.040, 0.461, 0.753], [0.225, 0.299, 0.836], [0.299, 0.225, 0.336], [0.461, 0.040, 0.253], [0.539, 0.960, 0.747], [0.701, 0.775, 0.664], [0.775, 0.701, 0.164], [0.960, 0.539, 0.247], [0.368, 0.632, 0.250], [0.632, 0.368, 0.750]], "spacegroup": "C2/c, No. 15", "e_above_lowest_polymorph_mev_per_atom": 121, "n_ef_per_ev_cell": 14.2, "ef_ev_per_atom": -0.03}